# 1
A crystal of Zr3Au relaxed with PBEsol, computed with SCAN.

Cell lengths 3.199, 3.199, 8.109 Å; angles 90.00, 90.00, 90.00 degrees
Positions (direct):
1 Zr 0.000 0.000 0.000
2 Zr 0.500 0.500 0.266
3 Zr 0.500 0.500 0.734
4 Au 0.000 0.000 0.500

Values from the calculation:
Energy of formation from the pure elements in meV/atom: -413.4
Symmetry: P4/mmm, No. 123
Calculated volume in Å³ per atom: 20.74



# 2
A crystal of CaAg2Pt relaxed with PBEsol, computed with SCAN.

Cell lengths 4.040, 4.040, 8.798 Å; angles 90.00, 90.00, 90.00 degrees
Positions (direct):
1 Ca 0.000 0.000 0.000
2 Ca 0.500 0.500 0.500
3 Ag 0.000 0.500 0.250
4 Ag 0.000 0.500 0.750
5 Ag 0.500 0.000 0.250
6 Ag 0.500 0.000 0.750
7 Pt 0.000 0.000 0.500
8 Pt 0.500 0.500 0.000

Values from the calculation:
Energy of formation from the pure elements in meV/atom: -412.7
Symmetry: I4/mmm, No. 139
Calculated volume in Å³ per atom: 17.95



# 3
A crystal of CaInB2I relaxed with PBEsol, computed with SCAN.

Cell lengths 5.022, 5.022, 5.837 Å; angles 90.00, 90.00, 90.00 degrees
Positions (direct):
1 Ca 0.000 0.000 0.000
2 In 0.500 0.500 0.500
3 B 0.000 0.500 0.000
4 B 0.500 0.000 0.000
5 I 0.000 0.000 0.500

Values from the calculation:
Symmetry: P4/mmm, No. 123
Calculated volume in Å³ per atom: 29.45
Formation energy without anion corrections in meV per atom: 1492



Q: Look up the calculated volume of the first one.
A: 20.74 Å³ per atom